Record 1
An optimized crystal structure of La3Pr2HoSe6. Source: Alexandria, functional PBE-GGA.

* formation energy without anion corrections: -22.89 eV per formula unit
* E: -6.059 eV/atom
* D(E_F): 0.513 states/eV/atom
* crystal system: monoclinic
* total magnetic moment: 0.0 μB/cell

abc: 7.378 7.378 7.361
angles: 99.62 99.62 120.12
Sites, in units of the cell vectors:
La 0.000 0.000 0.000
La 0.328 0.672 0.000
La 0.672 0.328 0.000
Pr 0.167 0.833 0.500
Pr 0.833 0.167 0.500
Ho 0.500 0.500 0.500
Se 0.098 0.420 0.260
Se 0.260 0.260 0.745
Se 0.420 0.098 0.260
Se 0.580 0.902 0.740
Se 0.740 0.740 0.255
Se 0.902 0.580 0.740

***

Record 2
An optimized crystal structure of CrAgCl2. Source: Alexandria, functional PBE-GGA.

* formation energy without anion corrections: 0.84 eV per formula unit
* E: -3.832 eV/atom
* energy above the most stable polymorph in this dataset: 58.3 kJ/mol of atoms
* D(E_F): 1.142 states/eV/atom
* crystal system: cubic
* total magnetic moment: 4.9 μB/cell

abc: 4.837 4.837 4.837
angles: 60.00 60.00 60.00
Sites, in units of the cell vectors:
Cr 0.000 0.000 0.000
Ag 0.750 0.750 0.750
Cl 0.250 0.250 0.250
Cl 0.500 0.500 0.500

***

Record 3
An optimized crystal structure of Ac5Pm6Y2. Source: Alexandria, functional PBE-GGA.

* E: -4.688 eV/atom
* D(E_F): 1.497 states/eV/atom
* calculated formation energy: 0.08 eV/atom
* crystal system: orthorhombic
* total magnetic moment: 0.0 μB/cell

abc: 12.006 21.955 3.816
angles: 90.00 90.00 90.00
Sites, in units of the cell vectors:
Ac 0.000 0.000 0.000
Ac 0.069 0.425 0.000
Ac 0.146 0.723 0.000
Ac 0.354 0.223 0.000
Ac 0.431 0.925 0.000
Ac 0.500 0.500 0.000
Ac 0.569 0.075 0.000
Ac 0.646 0.777 0.000
Ac 0.854 0.277 0.000
Ac 0.931 0.575 0.000
Pm 0.083 0.153 0.000
Pm 0.162 0.881 0.500
Pm 0.225 0.558 0.500
Pm 0.275 0.058 0.500
Pm 0.338 0.381 0.500
Pm 0.417 0.653 0.000
Pm 0.583 0.347 0.000
Pm 0.662 0.619 0.500
Pm 0.725 0.942 0.500
Pm 0.775 0.442 0.500
Pm 0.838 0.119 0.500
Pm 0.917 0.847 0.000
Y 0.116 0.284 0.500
Y 0.384 0.784 0.500
Y 0.616 0.216 0.500
Y 0.884 0.716 0.500

***

Record 4
An optimized crystal structure of CrSbTe2Pt. Source: Alexandria, functional PBE-GGA.

* formation energy without anion corrections: 3.12 eV per formula unit
* E: -4.591 eV/atom
* energy above the most stable polymorph in this dataset: 0.0 kJ/mol of atoms
* D(E_F): 0.766 states/eV/atom
* crystal system: tetragonal
* total magnetic moment: 4.0 μB/cell

abc: 5.503 5.503 5.025
angles: 90.00 90.00 90.00
Sites, in units of the cell vectors:
Cr 0.000 0.000 0.000
Sb 0.500 0.500 0.000
Te 0.000 0.500 0.500
Te 0.500 0.000 0.500
Pt 0.500 0.500 0.500

***

Record 5
An optimized crystal structure of CrTcHg. Source: Alexandria, functional PBE-GGA.

* E: -6.174 eV/atom
* energy above the most stable polymorph in this dataset: 22.1 kJ/mol of atoms
* D(E_F): 0.829 states/eV/atom
* calculated formation energy: 0.59 eV/atom
* crystal system: trigonal
* total magnetic moment: 1.1 μB/cell

abc: 4.371 4.371 2.926
angles: 90.00 90.00 120.00
Sites, in units of the cell vectors:
Cr 0.000 0.000 0.000
Tc 0.667 0.333 0.850
Hg 0.333 0.667 0.391

***

Record 6
An optimized crystal structure of AgSnH. Source: Alexandria, functional PBE-GGA.

* E: -3.128 eV/atom
* energy above the most stable polymorph in this dataset: 5.6 kJ/mol of atoms
* D(E_F): 0.241 states/eV/atom
* crystal system: triclinic
* total magnetic moment: 0.0 μB/cell

abc: 3.596 5.306 6.009
angles: 98.69 96.11 104.72
Sites, in units of the cell vectors:
Ag 0.151 0.271 0.430
Ag 0.849 0.729 0.570
Sn 0.298 0.201 0.913
Sn 0.702 0.799 0.087
H 0.337 0.700 0.563
H 0.663 0.300 0.437

***

Record 7
An optimized crystal structure of TmCd2Ag3. Source: Alexandria, functional PBE-GGA.

* E: -2.633 eV/atom
* energy above the most stable polymorph in this dataset: 0.0 kJ/mol of atoms
* D(E_F): 0.449 states/eV/atom
* calculated formation energy: -0.16 eV/atom
* crystal system: monoclinic
* total magnetic moment: 0.0 μB/cell

abc: 4.957 6.790 7.711
angles: 90.00 107.29 90.00
Sites, in units of the cell vectors:
Tm 0.161 0.000 0.320
Tm 0.839 0.000 0.680
Cd 0.173 0.500 0.344
Cd 0.500 0.000 0.000
Cd 0.500 0.500 0.000
Cd 0.827 0.500 0.656
Ag 0.000 0.274 0.000
Ag 0.000 0.726 0.000
Ag 0.333 0.250 0.667
Ag 0.333 0.750 0.667
Ag 0.667 0.250 0.333
Ag 0.667 0.750 0.333

***

Record 8
An optimized crystal structure of La8Ge2Pt. Source: Alexandria, functional PBE-GGA.

* E: -5.422 eV/atom
* D(E_F): 1.116 states/eV/atom
* calculated formation energy: -0.45 eV/atom
* crystal system: monoclinic
* total magnetic moment: 0.0 μB/cell

abc: 8.261 8.261 6.354
angles: 102.28 102.28 117.66
Sites, in units of the cell vectors:
La 0.000 0.000 0.000
La 0.022 0.252 0.590
La 0.195 0.620 0.265
La 0.252 0.022 0.590
La 0.443 0.722 0.891
La 0.620 0.195 0.265
La 0.692 0.692 0.433
La 0.722 0.443 0.891
Ge 0.019 0.629 0.671
Ge 0.629 0.019 0.671
Pt 0.352 0.352 0.028

***

Record 9
An optimized crystal structure of Na5TmO4. Source: Alexandria, functional PBE-GGA.

* formation energy without anion corrections: -18.10 eV per formula unit
* E: -4.900 eV/atom
* D(E_F): 0.000 states/eV/atom
* crystal system: monoclinic
* total magnetic moment: 0.0 μB/cell

abc: 7.459 7.459 6.357
angles: 115.06 115.06 27.17
Sites, in units of the cell vectors:
Na 0.000 0.000 0.000
Na 0.327 0.327 0.092
Na 0.327 0.327 0.564
Na 0.673 0.673 0.436
Na 0.673 0.673 0.908
Tm 0.000 0.000 0.500
O 0.182 0.182 0.682
O 0.500 0.500 0.266
O 0.500 0.500 0.734
O 0.818 0.818 0.318

***

Record 10
An optimized crystal structure of Sr2AsP2. Source: Alexandria, functional PBE-GGA.

* E: -4.511 eV/atom
* D(E_F): 0.924 states/eV/atom
* calculated formation energy: -0.74 eV/atom
* crystal system: tetragonal
* total magnetic moment: 0.0 μB/cell

abc: 7.576 7.576 4.311
angles: 90.00 90.00 90.00
Sites, in units of the cell vectors:
Sr 0.189 0.311 0.000
Sr 0.311 0.811 0.000
Sr 0.689 0.189 0.000
Sr 0.811 0.689 0.000
As 0.000 0.000 0.500
As 0.500 0.500 0.500
P 0.102 0.602 0.500
P 0.398 0.102 0.500
P 0.602 0.898 0.500
P 0.898 0.398 0.500

***

Record 11
An optimized crystal structure of VGaTcMo. Source: Alexandria, functional PBE-GGA.

* E: -8.437 eV/atom
* D(E_F): 0.717 states/eV/atom
* calculated formation energy: -0.10 eV/atom
* crystal system: cubic
* total magnetic moment: 1.9 μB/cell

abc: 4.369 4.369 4.369
angles: 60.00 60.00 60.00
Sites, in units of the cell vectors:
V 0.000 0.000 0.000
Ga 0.750 0.750 0.750
Tc 0.500 0.500 0.500
Mo 0.250 0.250 0.250

***

Record 12
An optimized crystal structure of Cd2AgHg2. Source: Alexandria, functional PBE-GGA.

* E: -0.875 eV/atom
* energy above the most stable polymorph in this dataset: 14.6 kJ/mol of atoms
* D(E_F): 0.367 states/eV/atom
* calculated formation energy: 0.18 eV/atom
* crystal system: tetragonal
* total magnetic moment: 0.0 μB/cell

abc: 7.825 7.825 7.825
angles: 149.68 149.68 43.40
Sites, in units of the cell vectors:
Cd 0.250 0.750 0.500
Cd 0.750 0.250 0.500
Ag 0.000 0.000 0.000
Hg 0.404 0.404 0.000
Hg 0.596 0.596 0.000

***

> Look up the D(E_F) of the first one.

0.513 states/eV/atom